Entry 1:
The following is a DFT calculation (GGA-PBE) of a relaxed GeBi2Ru crystal.

```
GeBi2Ru
1.0
-3.185 3.185 6.196
3.185 -3.185 6.196
3.185 3.185 -6.196
Ge Bi Ru
2 4 2
direct
0.000 0.000 0.000
0.750 0.250 0.500
0.153 0.625 0.028
0.375 0.403 0.528
0.597 0.125 0.972
0.875 0.847 0.472
0.250 0.750 0.500
0.500 0.500 0.000
```

Results
DOS(E_F) (states/eV per cell): 5.5
Crystal system: tetragonal
Space group: I-42d
ΔH_f (0 K) (eV/atom): 0.552


Entry 2:
The following is a DFT calculation (GGA-PBE) of a relaxed GeBiRu2 crystal.

```
GeBiRu2
1.0
0.000 3.231 3.231
3.231 0.000 3.231
3.231 3.231 0.000
Ge Bi Ru
1 1 2
direct
0.000 0.000 0.000
0.500 0.500 0.500
0.250 0.250 0.250
0.750 0.750 0.750
```

Results
DOS(E_F) (states/eV per cell): 4.0
ΔE to the lowest computed polymorph (meV per atom): 0.0
Crystal system: cubic
Space group: Fm-3m
ΔH_f (0 K) (eV/atom): 0.271


Entry 3:
The following is a DFT calculation (GGA-PBE) of a relaxed GeBiRu3 crystal.

```
GeBiRu3
1.0
4.593 0.000 0.000
0.000 4.593 0.000
0.000 0.000 4.593
Ge Bi Ru
1 1 3
direct
0.000 0.000 0.000
0.500 0.500 0.500
0.000 0.000 0.500
0.000 0.500 0.000
0.500 0.000 0.000
```

Results
DOS(E_F) (states/eV per cell): 10.1
ΔE to the lowest computed polymorph (meV per atom): 0.0
Crystal system: cubic
Space group: Pm-3m
ΔH_f (0 K) (eV/atom): 0.869


Entry 4:
The following is a DFT calculation (GGA-PBE) of a relaxed GeBiRu2 crystal.

```
GeBiRu2
1.0
-2.921 2.921 5.784
2.921 -2.921 5.784
2.921 2.921 -5.784
Ge Bi Ru
2 2 4
direct
0.000 0.000 0.000
0.750 0.250 0.500
0.250 0.750 0.500
0.500 0.500 0.000
0.086 0.625 0.961
0.375 0.336 0.461
0.664 0.125 0.039
0.875 0.914 0.539
```

Results
DOS(E_F) (states/eV per cell): 8.6
ΔE to the lowest computed polymorph (meV per atom): 413.2
Crystal system: tetragonal
Space group: I-42d
ΔH_f (0 K) (eV/atom): 0.684


Entry 5:
The following is a DFT calculation (GGA-PBE) of a relaxed GeBi3Ru crystal.

```
GeBi3Ru
1.0
5.268 0.000 0.000
0.000 5.268 0.000
0.000 0.000 5.268
Ge Bi Ru
1 3 1
direct
0.000 0.000 0.000
0.000 0.500 0.500
0.500 0.000 0.500
0.500 0.500 0.000
0.500 0.500 0.500
```

Results
DOS(E_F) (states/eV per cell): 3.6
ΔE to the lowest computed polymorph (meV per atom): 0.0
Crystal system: cubic
Space group: Pm-3m
ΔH_f (0 K) (eV/atom): 0.598


Entry 6:
The following is a DFT calculation (GGA-PBE) of a relaxed GeBi3Ru crystal.

```
GeBi3Ru
1.0
5.426 0.000 0.000
0.000 5.426 0.000
0.000 0.000 5.426
Ge Bi Ru
1 3 1
direct
0.000 0.000 0.000
0.000 0.000 0.500
0.000 0.500 0.000
0.500 0.000 0.000
0.500 0.500 0.500
```

Results
DOS(E_F) (states/eV per cell): 4.8
ΔE to the lowest computed polymorph (meV per atom): 728.7
Crystal system: cubic
Space group: Pm-3m
ΔH_f (0 K) (eV/atom): 1.327


Entry 7:
The following is a DFT calculation (GGA-PBE) of a relaxed GeBiRu3 crystal.

```
GeBiRu3
1.0
5.021 0.000 0.000
0.000 5.021 0.000
0.000 0.000 5.021
Ge Bi Ru
1 1 3
direct
0.000 0.000 0.000
0.500 0.500 0.500
0.000 0.500 0.500
0.500 0.000 0.500
0.500 0.500 0.000
```

Results
DOS(E_F) (states/eV per cell): 8.0
ΔE to the lowest computed polymorph (meV per atom): 1144.6
Crystal system: cubic
Space group: Pm-3m
ΔH_f (0 K) (eV/atom): 2.014


Entry 8:
The following is a DFT calculation (GGA-PBE) of a relaxed Sn2GeBiRu crystal.

```
Sn2GeBiRu
1.0
5.406 0.000 0.000
0.000 5.406 0.000
0.000 0.000 4.703
Sn Ge Bi Ru
2 1 1 1
direct
0.000 0.500 0.000
0.500 0.000 0.000
0.000 0.000 0.000
0.500 0.500 0.500
0.000 0.000 0.500
```

Results
DOS(E_F) (states/eV per cell): 5.0
Crystal system: tetragonal
Space group: P4/mmm
ΔH_f (0 K) (eV/atom): 0.681


Entry 9:
The following is a DFT calculation (GGA-PBE) of a relaxed ZnGeBiRu2 crystal.

```
ZnGeBiRu2
1.0
4.704 0.000 0.000
0.000 4.704 0.000
0.000 0.000 4.975
Zn Ge Bi Ru
1 1 1 2
direct
0.000 0.000 0.000
0.500 0.500 0.500
0.000 0.000 0.500
0.000 0.500 0.000
0.500 0.000 0.000
```

Results
DOS(E_F) (states/eV per cell): 7.4
Crystal system: tetragonal
Space group: P4/mmm
ΔH_f (0 K) (eV/atom): 1.350


Entry 10:
The following is a DFT calculation (GGA-PBE) of a relaxed GeBi3S crystal.

```
GeBi3S
1.0
5.390 0.000 0.000
0.000 5.390 0.000
0.000 0.000 5.390
Ge Bi S
1 3 1
direct
0.000 0.000 0.000
0.000 0.500 0.500
0.500 0.000 0.500
0.500 0.500 0.000
0.500 0.500 0.500
```

Results
DOS(E_F) (states/eV per cell): 3.3
ΔE to the lowest computed polymorph (meV per atom): 0.0
Crystal system: cubic
Space group: Pm-3m
Energy relative to the elements, uncorrected (eV per formula unit): 2.7


Entry 11:
The following is a DFT calculation (GGA-PBE) of a relaxed GeBi2S5 crystal.

```
GeBi2S5
1.0
2.700 -6.803 0.000
2.700 6.803 0.000
0.000 0.000 12.331
Ge Bi S
2 4 10
direct
0.165 0.835 0.750
0.835 0.165 0.250
0.157 0.843 0.073
0.157 0.843 0.427
0.843 0.157 0.573
0.843 0.157 0.927
0.049 0.951 0.615
0.049 0.951 0.885
0.293 0.707 0.250
0.293 0.707 0.604
0.293 0.707 0.896
0.707 0.293 0.104
0.707 0.293 0.396
0.707 0.293 0.750
0.951 0.049 0.115
0.951 0.049 0.385
```

Results
DOS(E_F) (states/eV per cell): 0.9
Crystal system: orthorhombic
Space group: Cmcm
Energy relative to the elements, uncorrected (eV per formula unit): -1.0


Entry 12:
The following is a DFT calculation (GGA-PBE) of a relaxed Ge5Bi3S12 crystal.

```
Ge5Bi3S12
1.0
-7.799 7.799 7.799
7.799 -7.799 7.799
7.799 7.799 -7.799
Ge Bi S
20 12 48
direct
0.000 0.000 0.000
0.000 0.000 0.500
0.000 0.500 0.000
0.000 0.500 0.500
0.125 0.750 0.875
0.125 0.875 0.250
0.250 0.125 0.875
0.250 0.625 0.375
0.375 0.250 0.625
0.375 0.625 0.750
0.500 0.000 0.000
0.500 0.000 0.500
0.500 0.500 0.000
0.500 0.500 0.500
0.625 0.375 0.250
0.625 0.750 0.375
0.750 0.375 0.625
0.750 0.875 0.125
0.875 0.125 0.750
0.875 0.250 0.125
0.125 0.250 0.375
0.125 0.375 0.750
0.250 0.375 0.125
0.250 0.875 0.625
0.375 0.125 0.250
0.375 0.750 0.125
0.625 0.250 0.875
0.625 0.875 0.750
0.750 0.125 0.375
0.750 0.625 0.875
0.875 0.625 0.250
0.875 0.750 0.625
0.029 0.215 0.124
0.029 0.314 0.905
0.091 0.715 0.686
0.091 0.876 0.405
0.095 0.624 0.409
0.095 0.971 0.686
0.124 0.029 0.215
0.124 0.595 0.909
0.186 0.215 0.591
0.186 0.471 0.595
0.215 0.124 0.029
0.215 0.591 0.186
0.285 0.314 0.909
0.285 0.471 0.376
0.314 0.905 0.029
0.314 0.909 0.285
0.376 0.285 0.471
0.376 0.591 0.905
0.405 0.091 0.876
0.405 0.814 0.529
0.409 0.095 0.624
0.409 0.814 0.785
0.471 0.376 0.285
0.471 0.595 0.186
0.529 0.405 0.814
0.529 0.624 0.715
0.591 0.186 0.215
0.591 0.905 0.376
0.595 0.186 0.471
0.595 0.909 0.124
0.624 0.409 0.095
0.624 0.715 0.529
0.686 0.091 0.715
0.686 0.095 0.971
0.715 0.529 0.624
0.715 0.686 0.091
0.785 0.409 0.814
0.785 0.876 0.971
0.814 0.529 0.405
0.814 0.785 0.409
0.876 0.405 0.091
0.876 0.971 0.785
0.905 0.029 0.314
0.905 0.376 0.591
0.909 0.124 0.595
0.909 0.285 0.314
0.971 0.686 0.095
0.971 0.785 0.876
```

Results
DOS(E_F) (states/eV per cell): 16.7
Crystal system: cubic
Space group: Ia-3d
Energy relative to the elements, uncorrected (eV per formula unit): -4.3


Entry 13:
The following is a DFT calculation (GGA-PBE) of a relaxed Ge2Bi2S crystal.

```
Ge2Bi2S
1.0
6.628 0.000 0.000
0.000 6.628 0.000
0.000 0.000 5.899
Ge Bi S
4 4 2
direct
0.147 0.353 0.000
0.353 0.853 0.000
0.647 0.147 0.000
0.853 0.647 0.000
0.212 0.288 0.500
0.288 0.788 0.500
0.712 0.212 0.500
0.788 0.712 0.500
0.000 0.000 0.000
0.500 0.500 0.000
```

Results
DOS(E_F) (states/eV per cell): 7.0
ΔE to the lowest computed polymorph (meV per atom): 11.0
Crystal system: tetragonal
Space group: P4/mbm
Energy relative to the elements, uncorrected (eV per formula unit): 0.9


Entry 14:
The following is a DFT calculation (GGA-PBE) of a relaxed Ge2Bi2S crystal.

```
Ge2Bi2S
1.0
-1.940 1.940 8.116
1.940 -1.940 8.116
1.940 1.940 -8.116
Ge Bi S
2 2 1
direct
0.250 0.750 0.500
0.750 0.250 0.500
0.100 0.100 0.000
0.900 0.900 0.000
0.500 0.500 0.000
```

Results
DOS(E_F) (states/eV per cell): 3.0
ΔE to the lowest computed polymorph (meV per atom): 0.0
Crystal system: tetragonal
Space group: I4/mmm
Energy relative to the elements, uncorrected (eV per formula unit): 0.8


Entry 15:
The following is a DFT calculation (GGA-PBE) of a relaxed GeBiS3 crystal.

```
GeBiS3
1.0
5.180 0.000 0.000
0.000 5.180 0.000
0.000 0.000 5.180
Ge Bi S
1 1 3
direct
0.000 0.000 0.000
0.500 0.500 0.500
0.000 0.500 0.500
0.500 0.000 0.500
0.500 0.500 0.000
```

Results
DOS(E_F) (states/eV per cell): 3.9
ΔE to the lowest computed polymorph (meV per atom): 653.5
Crystal system: cubic
Space group: Pm-3m
Energy relative to the elements, uncorrected (eV per formula unit): 3.0


Entry 16:
The following is a DFT calculation (GGA-PBE) of a relaxed Ge2Bi2S crystal.

```
Ge2Bi2S
1.0
-2.891 2.891 3.840
2.891 -2.891 3.840
2.891 2.891 -3.840
Ge Bi S
2 2 1
direct
0.172 0.172 0.000
0.828 0.828 0.000
0.250 0.750 0.500
0.750 0.250 0.500
0.500 0.500 0.000
```

Results
DOS(E_F) (states/eV per cell): 3.1
ΔE to the lowest computed polymorph (meV per atom): 77.2
Crystal system: tetragonal
Space group: I4/mmm
Energy relative to the elements, uncorrected (eV per formula unit): 1.2


Entry 17:
The following is a DFT calculation (GGA-PBE) of a relaxed Ge3BiS crystal.

```
Ge3BiS
1.0
5.536 0.000 0.000
0.000 5.536 0.000
0.000 0.000 5.536
Ge Bi S
3 1 1
direct
0.000 0.000 0.500
0.000 0.500 0.000
0.500 0.000 0.000
0.000 0.000 0.000
0.500 0.500 0.500
```

Results
DOS(E_F) (states/eV per cell): 4.1
ΔE to the lowest computed polymorph (meV per atom): 851.9
Crystal system: cubic
Space group: Pm-3m
Energy relative to the elements, uncorrected (eV per formula unit): 6.1


Entry 18:
The following is a DFT calculation (GGA-PBE) of a relaxed Ge2Bi2S crystal.

```
Ge2Bi2S
1.0
7.973 0.000 0.000
0.000 7.973 0.000
0.000 0.000 4.410
Ge Bi S
4 4 2
direct
0.107 0.393 0.000
0.393 0.893 0.000
0.607 0.107 0.000
0.893 0.607 0.000
0.227 0.727 0.500
0.273 0.227 0.500
0.727 0.773 0.500
0.773 0.273 0.500
0.000 0.000 0.500
0.500 0.500 0.500
```

Results
DOS(E_F) (states/eV per cell): 2.6
ΔE to the lowest computed polymorph (meV per atom): 67.5
Crystal system: tetragonal
Space group: P4/mbm
Energy relative to the elements, uncorrected (eV per formula unit): 1.2


Entry 19:
The following is a DFT calculation (GGA-PBE) of a relaxed GeBiS3 crystal.

```
GeBiS3
1.0
-3.554 4.470 4.240
3.554 -4.470 4.240
3.554 4.470 -4.240
Ge Bi S
2 2 6
direct
0.110 0.250 0.360
0.890 0.750 0.640
0.480 0.985 0.995
0.990 0.485 0.005
0.267 0.472 0.779
0.267 0.988 0.296
0.692 0.488 0.221
0.692 0.972 0.704
0.707 0.492 0.715
0.777 0.992 0.285
```

Results
DOS(E_F) (states/eV per cell): 7.5
ΔE to the lowest computed polymorph (meV per atom): 0.0
Crystal system: orthorhombic
Space group: Ima2
Energy relative to the elements, uncorrected (eV per formula unit): -0.3


Entry 20:
The following is a DFT calculation (GGA-PBE) of a relaxed GeBiS4 crystal.

```
GeBiS4
1.0
8.570 -2.652 0.000
8.570 2.652 0.000
-3.435 0.000 8.621
Ge Bi S
2 2 8
direct
0.126 0.126 0.277
0.874 0.874 0.723
0.216 0.216 0.755
0.784 0.784 0.245
0.008 0.008 0.894
0.093 0.093 0.486
0.227 0.227 0.177
0.345 0.345 0.691
0.655 0.655 0.309
0.773 0.773 0.823
0.907 0.907 0.514
0.992 0.992 0.106
```

Results
Crystal system: monoclinic
Space group: C2/m
Energy relative to the elements, uncorrected (eV per formula unit): -0.5


Entry 21:
The following is a DFT calculation (GGA-PBE) of a relaxed Ge2BiS2 crystal.

```
Ge2BiS2
1.0
8.570 0.000 0.000
0.000 8.570 0.000
0.000 0.000 3.422
Ge Bi S
4 2 4
direct
0.237 0.263 0.000
0.263 0.763 0.000
0.737 0.237 0.000
0.763 0.737 0.000
0.000 0.000 0.000
0.500 0.500 0.000
0.133 0.633 0.500
0.367 0.133 0.500
0.633 0.867 0.500
0.867 0.367 0.500
```

Results
DOS(E_F) (states/eV per cell): 4.7
Crystal system: tetragonal
Space group: P4/mbm
Energy relative to the elements, uncorrected (eV per formula unit): 0.2


Entry 22:
The following is a DFT calculation (GGA-PBE) of a relaxed Ge3BiS crystal.

```
Ge3BiS
1.0
4.999 0.000 0.000
0.000 4.999 0.000
0.000 0.000 4.999
Ge Bi S
3 1 1
direct
0.000 0.000 0.500
0.000 0.500 0.000
0.500 0.000 0.000
0.500 0.500 0.500
0.000 0.000 0.000
```

Results
DOS(E_F) (states/eV per cell): 1.9
ΔE to the lowest computed polymorph (meV per atom): 0.0
Crystal system: cubic
Space group: Pm-3m
Energy relative to the elements, uncorrected (eV per formula unit): 1.9


Table of magnetization (μB/f.u.), in record order: 0.0 0.0 0.0 0.0 0.0 2.1 4.9 0.6 1.9 0.0 0.0 0.0 0.0 0.0 0.0 0.0 0.0 0.0 0.0 0.0 0.0 0.0
Table of ρ (g cm⁻³), in record order: 7.816 11.906 10.025 8.141 9.096 8.324 7.674 7.492 8.284 7.757 4.773 4.813 7.629 8.088 4.514 7.699 4.492 7.053 4.657 3.473 5.529 6.103